The following is a PBE calculation of a relaxed structure of AlRe2Br, from the Alexandria database.

abc: 5.569 5.569 3.170
angles: 106.07 106.07 123.05
Element x y z (fractional)
Al 0.000 0.000 0.000
Re 0.000 0.500 0.500
Re 0.500 0.000 0.500
Br 0.500 0.500 0.000

## Properties
- Uncorrected formation energy: 879 meV per atom
- Offset from the most stable computed form: 749 meV/atom

---

The following is a PBE calculation of a relaxed structure of AlReBr, from the Alexandria database.

abc: 7.958 7.721 2.950
angles: 83.71 74.67 21.62
Element x y z (fractional)
Al 0.000 0.000 0.000
Re 0.628 0.628 0.372
Br 0.368 0.368 0.632

## Properties
- Uncorrected formation energy: 671 meV per atom
- Offset from the most stable computed form: 176 meV/atom

---

The following is a PBE calculation of a relaxed structure of Al2ReBr, from the Alexandria database.

abc: 2.893 4.819 4.867
angles: 90.00 90.00 90.00
Element x y z (fractional)
Al 0.000 0.000 0.000
Al 0.500 0.000 0.500
Re 0.000 0.500 0.500
Br 0.500 0.500 0.000

## Properties
- Uncorrected formation energy: 707 meV per atom
- Offset from the most stable computed form: 802 meV/atom